1.
The following is a DFT calculation (GGA-PBE) of Hf4TlSbN2 after structural relaxation.

Total energy (eV per atom): -8.811
Space group: P-6m2, No. 187

```
8
Lattice="3.350 0.000 0.000 -1.675 2.901 0.000 0.000 0.000 13.976" Properties=species:S:1:pos:R:3 pbc="T T T"
Hf 0.000 0.000 2.211
Hf 0.000 0.000 11.765
Hf 0.000 1.934 4.562
Hf 0.000 1.934 9.414
Tl 0.000 0.000 6.988
Sb 0.000 1.934 0.000
N 1.675 0.967 3.428
N 1.675 0.967 10.548
```

2.
The following is a DFT calculation (GGA-PBE) of NaTbAg3Te4 after structural relaxation.

Total energy (eV per atom): -3.517
Space group: P-43m, No. 215

```
9
Lattice="6.745 0.000 0.000 0.000 6.745 0.000 0.000 0.000 6.745" Properties=species:S:1:pos:R:3 pbc="T T T"
Na 0.000 0.000 0.000
Tb 3.373 3.373 3.373
Ag 0.000 3.373 3.373
Ag 3.373 0.000 3.373
Ag 3.373 3.373 0.000
Te 1.707 1.707 1.707
Te 1.707 5.038 5.038
Te 5.038 1.707 5.038
Te 5.038 5.038 1.707
```

3.
The following is a DFT calculation (GGA-PBE) of NbBi2Ir after structural relaxation.

Total energy (eV per atom): -6.124
Space group: F-43m, No. 216

```
4
Lattice="0.000 3.529 3.529 3.529 0.000 3.529 3.529 3.529 0.000" Properties=species:S:1:pos:R:3 pbc="T T T"
Nb 0.000 0.000 0.000
Bi 3.529 3.529 3.529
Bi 5.293 5.293 5.293
Ir 1.764 1.764 1.764
```

Copy entry 3 word for word.
The following is a DFT calculation (GGA-PBE) of NbBi2Ir after structural relaxation.

Total energy (eV per atom): -6.124
Space group: F-43m, No. 216

```
4
Lattice="0.000 3.529 3.529 3.529 0.000 3.529 3.529 3.529 0.000" Properties=species:S:1:pos:R:3 pbc="T T T"
Nb 0.000 0.000 0.000
Bi 3.529 3.529 3.529
Bi 5.293 5.293 5.293
Ir 1.764 1.764 1.764
```

Q: The highest total energy belongs to which entry?
A: NaTbAg3Te4

Please write out number 2 again, unchanged.
The following is a DFT calculation (GGA-PBE) of NaTbAg3Te4 after structural relaxation.

Total energy (eV per atom): -3.517
Space group: P-43m, No. 215

```
9
Lattice="6.745 0.000 0.000 0.000 6.745 0.000 0.000 0.000 6.745" Properties=species:S:1:pos:R:3 pbc="T T T"
Na 0.000 0.000 0.000
Tb 3.373 3.373 3.373
Ag 0.000 3.373 3.373
Ag 3.373 0.000 3.373
Ag 3.373 3.373 0.000
Te 1.707 1.707 1.707
Te 1.707 5.038 5.038
Te 5.038 1.707 5.038
Te 5.038 5.038 1.707
```